{
  "formula": "Rb2Ho2UTe6",
  "functional": "PBE",
  "state": "relaxed",
  "crystal_system": "monoclinic",
  "energy_ev_per_atom": -4.9212,
  "magmom_total_mub_per_cell": 2.0,
  "n_ef_per_ev_cell": 7.43,
  "formation_energy_uncorrected_mev_per_atom": -1173,
  "lattice_angstrom": [[3.841, -6.646, 0.000], [3.841, 6.646, 0.000], [-2.579, 0.000, 8.790]],
  "species": ["Rb", "Rb", "Ho", "Ho", "U", "Te", "Te", "Te", "Te", "Te", "Te"],
  "fractional_positions": [[0.167, 0.833, 0.000], [0.833, 0.167, 0.000], [0.332, 0.668, 0.500], [0.668, 0.332, 0.500], [0.000, 0.000, 0.500], [0.068, 0.398, 0.697], [0.267, 0.267, 0.305], [0.398, 0.068, 0.697], [0.602, 0.932, 0.303], [0.733, 0.733, 0.695], [0.932, 0.602, 0.303]]
}